Entry 1:
DFT (GGA-PBE) results for crystalline RbNaSr2Cu at its relaxed geometry.

Properties
**DFT formation energy**: 0.138 eV per atom
**Volume**: 49.1 Å³ per atom

a = 6.0695 Å, b = 6.0695 Å, c = 6.6700 Å
α = 90.00°, β = 90.00°, γ = 90.00°
Atoms (fractional coordinates):
Rb  0.0000  0.0000  0.5000
Na  0.5000  0.5000  0.5000
Sr  0.5000  0.0000  0.0000
Sr  0.0000  0.5000  0.0000
Cu  0.0000  0.0000  0.0000

Entry 2:
DFT (GGA-PBE) results for crystalline RbNa2SrCu at its relaxed geometry.

Properties
**DFT formation energy**: 0.175 eV per atom
**Volume**: 43.3 Å³ per atom

a = 6.0391 Å, b = 6.0391 Å, c = 5.9339 Å
α = 90.00°, β = 90.00°, γ = 90.00°
Atoms (fractional coordinates):
Na  0.5000  0.0000  0.0000
Na  0.0000  0.5000  0.0000
Cu  0.0000  0.0000  0.0000
Rb  0.5000  0.5000  0.5000
Sr  0.0000  0.0000  0.5000

Entry 3:
DFT (GGA-PBE) results for crystalline RbNa2TaCu at its relaxed geometry.

Properties
**DFT formation energy**: 0.942 eV per atom
**Volume**: 32.0 Å³ per atom

a = 5.6929 Å, b = 4.9369 Å, c = 5.6929 Å
α = 90.00°, β = 90.00°, γ = 90.00°
Last column: magnetic moment on the atom in μB.
Atoms (fractional coordinates):
Na  0.5000  0.0000  0.0000  0.00
Na  0.0000  0.0000  0.5000  0.00
Rb  0.5000  0.5000  0.5000  0.03
Ta  0.0000  0.5000  0.0000  1.48
Cu  0.0000  0.0000  0.0000  0.03

Entry 4:
DFT (GGA-PBE) results for crystalline Rb2NaCuTe at its relaxed geometry.

Properties
**ΔE_f (raw)**: -0.8 eV/f.u.
**Volume**: 47.6 Å³ per atom

a = 6.9767 Å, b = 4.8896 Å, c = 6.9767 Å
α = 90.00°, β = 90.00°, γ = 90.00°
Atoms (fractional coordinates):
Cu  0.0000  0.0000  0.0000
Rb  0.0000  0.0000  0.5000
Rb  0.5000  0.0000  0.0000
Te  0.0000  0.5000  0.0000
Na  0.5000  0.5000  0.5000

Entry 5:
DFT (GGA-PBE) results for crystalline Rb2NaCuTe2 at its relaxed geometry.

Properties
**ΔE_f (raw)**: -4.4 eV/f.u.
**Volume**: 33.9 Å³ per atom

a = 7.1580 Å, b = 7.0971 Å, c = 9.4565 Å
α = 112.04°, β = 112.24°, γ = 90.00°
Atoms (fractional coordinates):
Cu  0.5000  0.2500  0.0000
Cu  0.5000  0.7500  0.0000
Te  0.3797  0.5938  0.1877
Te  0.8080  0.0938  0.1877
Te  0.1920  0.9062  0.8123
Te  0.6203  0.4062  0.8123
Rb  0.4146  0.1667  0.3333
Rb  0.5854  0.8333  0.6667
Rb  0.0813  0.3333  0.6667
Rb  0.9187  0.6667  0.3333
Na  0.0000  0.7500  0.0000
Na  0.0000  0.2500  0.0000

Entry 6:
DFT (GGA-PBE) results for crystalline Rb2NaTlCu at its relaxed geometry.

Properties
**DFT formation energy**: 0.166 eV per atom
**Volume**: 47.1 Å³ per atom

a = 6.7756 Å, b = 6.7756 Å, c = 5.1260 Å
α = 90.00°, β = 90.00°, γ = 90.00°
Atoms (fractional coordinates):
Cu  0.0000  0.0000  0.0000
Rb  0.5000  0.0000  0.0000
Rb  0.0000  0.5000  0.0000
Na  0.5000  0.5000  0.5000
Tl  0.0000  0.0000  0.5000

Entry 7:
DFT (GGA-PBE) results for crystalline RbNa2CuW at its relaxed geometry.

Properties
**DFT formation energy**: 1.092 eV per atom
**Volume**: 31.0 Å³ per atom

a = 5.6342 Å, b = 4.8808 Å, c = 5.6342 Å
α = 90.00°, β = 90.00°, γ = 90.00°
Last column: magnetic moment on the atom in μB.
Atoms (fractional coordinates):
Na  0.5000  0.0000  0.0000  -0.01
Na  0.0000  0.0000  0.5000  -0.01
W  0.0000  0.5000  0.0000  2.22
Cu  0.0000  0.0000  0.0000  0.06
Rb  0.5000  0.5000  0.5000  0.01

Entry 8:
DFT (GGA-PBE) results for crystalline RbNa2ZnCu at its relaxed geometry.

Properties
**DFT formation energy**: 0.169 eV per atom
**Volume**: 31.7 Å³ per atom

a = 5.6572 Å, b = 5.6572 Å, c = 4.9490 Å
α = 90.00°, β = 90.00°, γ = 90.00°
Atoms (fractional coordinates):
Na  0.5000  0.0000  0.0000
Na  0.0000  0.5000  0.0000
Rb  0.5000  0.5000  0.5000
Zn  0.0000  0.0000  0.5000
Cu  0.0000  0.0000  0.0000

| no. | calculated density (g cm⁻³) |
| --- | --- |
| 1 | 2.35 |
| 2 | 2.17 |
| 3 | 3.90 |
| 4 | 2.69 |
| 5 | 4.19 |
| 6 | 3.26 |
| 7 | 4.06 |
| 8 | 2.73 |